First-principles (GGA+U) data for crystalline BeCrO3 at its relaxed geometry, as listed in the Alexandria database.

Values from the calculation:
As for the density of states at the Fermi level: 3.2 states/eV/f.u. The value obtained for the magnetization is 0.400 μB per atom. The calculated density is 3.6 Mg/m³. For the final energy, the calculation gives -5.891 eV per atom.

Structure (POSCAR):
```
BeCrO3
1.0
3.684 0.000 0.000
0.000 3.684 0.000
0.000 0.000 3.684
O Be Cr
3 1 1
Direct
0.000 0.000 0.500
0.000 0.500 0.000
0.500 0.000 0.000
0.500 0.500 0.500
0.000 0.000 0.000
```